Record 1
# LiAc3C2N6 GGA-PBE optimized geometry
data_LiAc3C2N6
_chemical_formula_sum 'Li1 Ac3 C2 N6'
_symmetry_space_group_name_H-M 'P -3 m 1'
_symmetry_Int_Tables_number 164
_symmetry_space_group_name_Hall '-P 3 2"'
_cell_length_a 5.6022
_cell_length_b 5.6022
_cell_length_c 6.4790
_cell_angle_alpha 90.00
_cell_angle_beta 90.00
_cell_angle_gamma 120.00
loop_
_atom_site_label
_atom_site_type_symbol
_atom_site_fract_x
_atom_site_fract_y
_atom_site_fract_z
Li1 Li 0.0000 0.0000 0.0000
Ac1 Ac 0.0000 0.0000 0.5000
Ac2 Ac 0.3333 0.6667 0.1693
C1 C 0.3333 0.6667 0.7598
N1 N 0.1915 0.3830 0.7738
# ρ, g/cm3: 7.506
# Crystal system: trigonal
# E_tot, eV/atom: -7.667
# Formation energy from raw total energies, meV/atom: -781



Record 2
# Pm2AlAg3 GGA-PBE optimized geometry
data_Pm2AlAg3
_chemical_formula_sum 'Pm4 Al2 Ag6'
_symmetry_space_group_name_H-M 'I m m 2'
_symmetry_Int_Tables_number 44
_symmetry_space_group_name_Hall 'I 2 -2'
_cell_length_a 3.860
_cell_length_b 4.421
_cell_length_c 17.214
_cell_angle_alpha 90.00
_cell_angle_beta 90.00
_cell_angle_gamma 90.00
loop_
_atom_site_label
_atom_site_type_symbol
_atom_site_fract_x
_atom_site_fract_y
_atom_site_fract_z
Pm1 Pm 0.000 0.000 0.000
Pm2 Pm 0.000 0.500 0.245
Al1 Al 0.000 0.000 0.585
Ag1 Ag 0.000 0.000 0.431
Ag2 Ag 0.000 0.500 0.660
Ag3 Ag 0.000 0.500 0.820
# ρ, g/cm3: 7.242
# Crystal system: orthorhombic
# E_tot, eV/atom: -3.871
# E_form, meV/atom: -238
# ΔE to the lowest computed polymorph, meV/atom: 81